1.
Here is an optimized crystal structure of Ac3GaPb2 from Alexandria via LeMat-Bulk. Energies are from GGA-PBE.

Lattice parameters (Å, degrees): 13.5359 4.7908 13.2374 90.00 90.00 90.00
With the nearest neighbours (Å) after each atom.
Space group Pnma (No. 62)
Asymmetric unit:
1 Ac 0.0541 0.2500 0.1214 (multiplicity 4)  1 Ga 3.37, 5 Pb 3.41-3.67
2 Ac 0.1212 0.7500 0.5523 (multiplicity 4)  3 Ga 3.45-3.55, 5 Pb 3.48-3.59
3 Ac 0.2231 0.2500 0.7943 (multiplicity 4)  2 Ga 3.27, 1 Pb 3.38
4 Ga 0.1281 0.2500 0.3648 (multiplicity 4)  3 Pb 3.01-3.05, 2 Ac 3.27
5 Pb 0.0060 0.7500 0.3080 (multiplicity 4)  2 Ga 3.01
6 Pb 0.1896 0.7500 0.0006 (multiplicity 4)  1 Ga 3.05, 2 Ac 3.41

DFT total energy (eV/atom): -4.298
Formation energy from the elements (eV per atom): -0.50
Theoretical density (Mg/m³): 9.0
Polymorph energy (0 for the lowest one) (meV per atom): 0

2.
Here is an optimized crystal structure of AcGaPb4 from Alexandria via LeMat-Bulk. Energies are from GGA-PBE.

Lattice parameters (Å, degrees): 9.2307 9.2307 9.2307 90.00 90.00 90.00
With the nearest neighbours (Å) after each atom.
Space group F-43m (No. 216)
Asymmetric unit:
1 Ac 0.0000 0.0000 0.0000 (multiplicity 4)  12 Pb 3.83, 4 Ga 4.00
2 Ga 0.2500 0.2500 0.7500 (multiplicity 4)  12 Pb 3.83, 4 Ac 4.00
3 Pb 0.1251 0.1251 0.3749 (multiplicity 16)  6 Pb 3.26-3.27

DFT total energy (eV/atom): -3.759
Formation energy from the elements (eV per atom): -0.10
Theoretical density (Mg/m³): 9.5

3.
Here is an optimized crystal structure of Ac12GaPb6 from Alexandria via LeMat-Bulk. Energies are from GGA-PBE.

Lattice parameters (Å, degrees): 14.6996 14.6996 13.5369 90.00 90.00 120.00
With the nearest neighbours (Å) after each atom.
Space group R-3 (No. 148, hexagonal axes)
Asymmetric unit:
1 Ac 0.0315 0.1989 0.3894 (multiplicity 18)  4 Pb 3.39-3.62
2 Ac 0.0567 0.2053 0.8825 (multiplicity 18)  1 Ga 3.13, 2 Pb 3.39-3.41
3 Ga 0.0000 0.0000 0.0000 (multiplicity 3)  6 Ac 3.13
4 Pb 0.0451 0.2763 0.6452 (multiplicity 18)  7 Ac 3.39-3.64

DFT total energy (eV/atom): -4.193
Formation energy from the elements (eV per atom): -0.27
Theoretical density (Mg/m³): 7.9

4.
Here is an optimized crystal structure of Ac4GaPb from Alexandria via LeMat-Bulk. Energies are from GGA-PBE.

Lattice parameters (Å, degrees): 5.5371 5.5371 7.9173 90.00 90.00 90.00
With the nearest neighbours (Å) after each atom.
Space group P4/mmm (No. 123)
Asymmetric unit:
1 Ac 0.0000 0.5000 0.2312 (multiplicity 4)  2 Ga 3.32, 2 Pb 3.49, 1 Ac 3.66
2 Ga 0.0000 0.0000 0.0000 (multiplicity 1)  8 Ac 3.32
3 Pb 0.5000 0.5000 0.5000 (multiplicity 1)  8 Ac 3.49

DFT total energy (eV/atom): -4.091
Formation energy from the elements (eV per atom): -0.23
Theoretical density (Mg/m³): 8.1
Polymorph energy (0 for the lowest one) (meV per atom): 73

5.
Here is an optimized crystal structure of Ac3Ga2Pb3 from Alexandria via LeMat-Bulk. Energies are from GGA-PBE.

Lattice parameters (Å, degrees): 5.1553 12.2446 16.1692 90.00 90.00 90.00
With the nearest neighbours (Å) after each atom.
Space group Cmcm (No. 63)
Asymmetric unit:
1 Ac 0.0000 0.0745 0.2500 (multiplicity 4)  2 Ga 3.47, 7 Pb 3.53-3.65
2 Ac 0.0000 0.1475 0.5391 (multiplicity 8)  2 Ga 3.28, 3 Pb 3.51-3.53
3 Ga 0.0000 0.3343 0.1637 (multiplicity 8)  1 Ga 2.79, 3 Pb 2.95-2.99
4 Pb 0.0000 0.2142 0.7500 (multiplicity 4)  4 Ga 2.99
5 Pb 0.0000 0.4433 0.5933 (multiplicity 8)  1 Ga 2.95

DFT total energy (eV/atom): -4.120
Formation energy from the elements (eV per atom): -0.43
Theoretical density (Mg/m³): 9.4
Polymorph energy (0 for the lowest one) (meV per atom): 34

6.
Here is an optimized crystal structure of Ac3GaPb2 from Alexandria via LeMat-Bulk. Energies are from GGA-PBE.

Lattice parameters (Å, degrees): 17.6349 6.9041 6.9894 90.00 103.10 90.00
With the nearest neighbours (Å) after each atom.
Space group C2/c (No. 15)
Asymmetric unit:
1 Ac 0.0000 0.1665 0.2500 (multiplicity 4)  4 Ga 3.39-3.70, 4 Pb 3.45-3.56
2 Ac 0.1699 0.3886 0.6167 (multiplicity 8)  1 Ga 3.35, 4 Pb 3.44-3.58
3 Ga 0.0000 0.3426 0.7500 (multiplicity 4)  6 Ac 3.35-3.70, 2 Pb 3.44
4 Pb 0.1569 0.1057 0.0373 (multiplicity 8)  7 Ac 3.44-3.77, 1 Ga 3.44, 2 Pb 3.79

DFT total energy (eV/atom): -4.199
Formation energy from the elements (eV per atom): -0.40
Theoretical density (Mg/m³): 9.3
Polymorph energy (0 for the lowest one) (meV per atom): 99

7.
Here is an optimized crystal structure of Ac8GaPb5 from Alexandria via LeMat-Bulk. Energies are from GGA-PBE.

Lattice parameters (Å, degrees): 10.2147 10.2147 10.2872 90.00 90.00 90.00
With the nearest neighbours (Å) after each atom.
Space group I-4 (No. 82)
Asymmetric unit:
1 Ac 0.0656 0.1892 0.3039 (multiplicity 8)  1 Ga 3.29, 2 Pb 3.39-3.42
2 Ac 0.0715 0.3202 0.9459 (multiplicity 8)  5 Pb 3.40-3.70, 1 Ga 3.70
3 Ga 0.0000 0.5000 0.2500 (multiplicity 2)  4 Ac 3.29
4 Pb 0.0000 0.0000 0.0000 (multiplicity 2)  8 Ac 3.40-3.74
5 Pb 0.1230 0.2517 0.6252 (multiplicity 8)  8 Ac 3.39-3.78

DFT total energy (eV/atom): -4.397
Formation energy from the elements (eV per atom): -0.51
Theoretical density (Mg/m³): 9.0

8.
Here is an optimized crystal structure of Ac3GaPb3 from Alexandria via LeMat-Bulk. Energies are from GGA-PBE.

Lattice parameters (Å, degrees): 9.7658 9.7658 6.8900 90.00 90.00 120.00
With the nearest neighbours (Å) after each atom.
Space group P6_3/m (No. 176)
Asymmetric unit:
1 Ac 0.0686 0.6868 0.2500 (multiplicity 6)  5 Pb 3.31-3.45
2 Ga 0.3333 0.6667 0.7500 (multiplicity 2)  3 Pb 2.82
3 Pb 0.0678 0.7088 0.7500 (multiplicity 6)  1 Ga 2.82

DFT total energy (eV/atom): -4.093
Formation energy from the elements (eV per atom): -0.31
Theoretical density (Mg/m³): 8.0
Polymorph energy (0 for the lowest one) (meV per atom): 185